# UHg3Te2Br6

UHg3Te2Br6 after structural relaxation (PBE, the Alexandria database).

Results
- Fermi-level density of states (states/eV/atom) = 0.525
- E_tot (eV per atom) = -3.0909
- magnetization (Bohr magnetons per cell) = 4.012

Cell and atoms, written as CIF:
```
data_UHg3Te2Br6
_chemical_formula_sum 'U2 Hg6 Te4 Br12'
_cell_length_a 16.4581
_cell_length_b 8.0735
_cell_length_c 7.3754
_cell_angle_alpha 90.00
_cell_angle_beta 114.02
_cell_angle_gamma 90.00
_space_group_name_H-M_alt 'C 1 2/m 1'
_space_group_IT_number 12
loop_
_space_group_symop_operation_xyz
'x,y,z'
'-x,-y,-z'
'-x,y,-z'
'x,-y,z'
'x+1/2,y+1/2,z'
'-x+1/2,-y+1/2,-z'
'-x+1/2,y+1/2,-z'
'x+1/2,-y+1/2,z'
loop_
_atom_site_label
_atom_site_type_symbol
_atom_site_fract_x
_atom_site_fract_y
_atom_site_fract_z
U1 U 0.0000 0.0000 0.0000
Hg1 Hg 0.0000 0.5000 0.5000
Hg2 Hg 0.2500 0.2500 0.5000
Te1 Te 0.1842 0.5000 0.6587
Br1 Br 0.0882 0.0000 0.4167
Br2 Br 0.1136 0.2464 0.9833
```